A geometry-optimized LiGa2 structure. Source: the Alexandria database, functional PBE.

DOS(E_F) (states/eV/atom): 0.24
Excess energy over the best structure of this formula in the dataset (eV/f.u.): 0.18
Total DFT energy (no corrections) (eV/atom): -2.835
Formation enthalpy at 0 K (eV/atom): -0.18
Magnetic moment (μB per cell): 0.00
Mass density (g cm⁻³): 4.72
Crystal system: tetragonal

Cell lengths 3.2727, 3.2727, 9.6149 Å; angles 90.00, 90.00, 90.00 degrees
Space group I4/mmm (No. 139)
Symmetry-distinct sites (fractional):
Li (0.0000, 0.0000, 0.0000) [2 per cell]
Ga (0.0000, 0.0000, 0.3329) [4 per cell]